# 1
## LiMnCu3 (GGA-PBEsol)

Data for a geometry-optimized LiMnCu3 structure.

Values from the calculation:
formation energy = 3.9 eV per formula unit
E above lowest polymorph = 0.000 eV per atom

Lattice parameters (Å, degrees): 3.9824 3.9824 3.9824 90.00 90.00 90.00
With the nearest neighbours (Å) after each atom.
Element x y z (fractional)
Mn  0.5000  0.5000  0.5000  12 Cu 2.82
Cu  0.0000  0.5000  0.0000  2 Li 1.99
Cu  0.0000  0.0000  0.5000  2 Li 1.99
Cu  0.5000  0.0000  0.0000  2 Li 1.99
Li  0.0000  0.0000  0.0000  6 Cu 1.99



# 2
## LiZnRh2 (GGA-PBEsol)

Data for a geometry-optimized LiZnRh2 structure.

Values from the calculation:
formation energy = -0.7 eV per formula unit

Lattice parameters (Å, degrees): 2.8455 4.1989 4.9964 114.85 106.55 90.00
With the nearest neighbours (Å) after each atom.
Element x y z (fractional)
Zn  0.5018  0.5018  0.0038  6 Rh 2.54-2.60, 2 Li 2.56
Rh  0.0001  0.0001  0.0004  4 Zn 2.54, 2 Rh 2.57, 2 Li 2.59
Rh  0.7491  0.2492  0.4983  4 Li 2.54, 2 Rh 2.57, 2 Zn 2.60
Li  0.2487  0.7488  0.4976  6 Rh 2.54-2.59, 2 Zn 2.56



# 3
## BiOs2Au (GGA-PBEsol)

Data for a geometry-optimized BiOs2Au structure.

Values from the calculation:
formation energy = 4.0 eV per formula unit

Lattice parameters (Å, degrees): 4.5733 4.5733 4.5733 60.00 60.00 60.00
With the nearest neighbours (Å) after each atom.
Element x y z (fractional)
Os  0.2500  0.2500  0.2500  4 Bi 2.80, 4 Au 2.80
Os  0.7500  0.7500  0.7500  4 Bi 2.80, 4 Au 2.80
Au  0.0000  0.0000  0.0000  8 Os 2.80
Bi  0.5000  0.5000  0.5000  8 Os 2.80



# 4
## PtAuBr2 (GGA-PBEsol)

Data for a geometry-optimized PtAuBr2 structure.

Values from the calculation:
uncorrected formation energy = 250 meV per atom
E above lowest polymorph = 0.218 eV per atom

Lattice parameters (Å, degrees): 3.2283 4.5634 7.1363 108.65 103.07 90.00
With the nearest neighbours (Å) after each atom.
Element x y z (fractional)
Au  0.0000  0.5000  0.0000  4 Pt 2.79, 4 Br 3.04
Br  0.8471  0.8471  0.6943  2 Pt 2.58
Br  0.1529  0.1529  0.3057  2 Pt 2.58
Pt  0.5000  0.0000  0.0000  4 Br 2.58, 4 Au 2.79



# 5
## LiPd2Pb2 (GGA-PBEsol)

Data for a geometry-optimized LiPd2Pb2 structure.

Values from the calculation:
formation energy = -1.4 eV per formula unit

Lattice parameters (Å, degrees): 3.6517 7.3981 7.3981 90.00 90.00 90.00
With the nearest neighbours (Å) after each atom.
Element x y z (fractional)
Pb  0.5000  0.1652  0.6652  6 Pd 2.77-2.89
Pb  0.5000  0.6652  0.8348  6 Pd 2.77-2.89
Pb  0.5000  0.8348  0.3348  6 Pd 2.77-2.89
Pb  0.5000  0.3348  0.1652  6 Pd 2.77-2.89
Pd  0.0000  0.3647  0.8647  6 Pb 2.77-2.89, 1 Pd 2.83, 2 Li 2.88
Pd  0.0000  0.8647  0.6353  6 Pb 2.77-2.89, 1 Pd 2.83, 2 Li 2.88
Pd  0.0000  0.6353  0.1353  6 Pb 2.77-2.89, 1 Pd 2.83, 2 Li 2.88
Pd  0.0000  0.1353  0.3647  6 Pb 2.77-2.89, 1 Pd 2.83, 2 Li 2.88
Li  0.0000  0.0000  0.0000  4 Pd 2.88
Li  0.0000  0.5000  0.5000  4 Pd 2.88



# 6
## SrTl2Au (GGA-PBEsol)

Data for a geometry-optimized SrTl2Au structure.

Values from the calculation:
formation energy = -1.1 eV per formula unit

Lattice parameters (Å, degrees): 5.1920 5.1920 5.1920 60.00 60.00 60.00
With the nearest neighbours (Å) after each atom.
Element x y z (fractional)
Sr  0.0000  0.0000  0.0000  8 Tl 3.18
Tl  0.2500  0.2500  0.2500  4 Au 3.18, 4 Sr 3.18
Tl  0.7500  0.7500  0.7500  4 Sr 3.18, 4 Au 3.18
Au  0.5000  0.5000  0.5000  8 Tl 3.18



# 7
## Mg3InSb (GGA-PBEsol)

Data for a geometry-optimized Mg3InSb structure.

Values from the calculation:
uncorrected formation energy = 318 meV per atom

Lattice parameters (Å, degrees): 5.2227 5.2227 5.2227 90.00 90.00 90.00
With the nearest neighbours (Å) after each atom.
Element x y z (fractional)
Sb  0.5000  0.5000  0.5000  12 Mg 3.69
Mg  0.0000  0.5000  0.0000  2 In 2.61
Mg  0.0000  0.0000  0.5000  2 In 2.61
Mg  0.5000  0.0000  0.0000  2 In 2.61
In  0.0000  0.0000  0.0000  6 Mg 2.61



# 8
## MnHgBi2Rh (GGA-PBEsol)

Data for a geometry-optimized MnHgBi2Rh structure.

Values from the calculation:
formation energy = 3.4 eV per formula unit

Lattice parameters (Å, degrees): 4.5309 5.0082 5.0082 90.00 90.00 90.00
With the nearest neighbours (Å) after each atom.
Element x y z (fractional)
Mn  0.0000  0.0000  0.0000  2 Rh 2.27, 4 Bi 2.50
Rh  0.5000  0.0000  0.0000  2 Mn 2.27
Bi  0.0000  0.0000  0.5000  2 Mn 2.50
Bi  0.0000  0.5000  0.0000  2 Mn 2.50
Hg  0.5000  0.5000  0.5000  8 Bi 3.38, 4 Rh 3.54



# 9
## CoH2W (GGA-PBEsol)

Data for a geometry-optimized CoH2W structure.

Values from the calculation:
electronic total energy = -25.9 eV/f.u.

Lattice parameters (Å, degrees): 3.5173 3.5173 3.5173 60.00 60.00 60.00
With the nearest neighbours (Å) after each atom.
Element x y z (fractional)
H  0.2500  0.2500  0.2500  4 Co 2.15, 4 W 2.15
H  0.7500  0.7500  0.7500  4 W 2.15, 4 Co 2.15
Co  0.0000  0.0000  0.0000  8 H 2.15
W  0.5000  0.5000  0.5000  8 H 2.15



# 10
## AgAu3 (GGA-PBEsol)

Data for a geometry-optimized AgAu3 structure.

Values from the calculation:
formation energy = -0.1 eV per formula unit
E above lowest polymorph = 0.013 eV per atom

Lattice parameters (Å, degrees): 4.8085 5.6823 5.6823 120.00 90.00 90.00
With the nearest neighbours (Å) after each atom.
Element x y z (fractional)
Au  0.7500  0.1672  0.3344  8 Au 2.83-2.91, 4 Ag 2.84-2.91
Au  0.2500  0.8328  0.6656  8 Au 2.83-2.91, 4 Ag 2.84-2.91
Au  0.7500  0.1672  0.8328  8 Au 2.83-2.91, 4 Ag 2.84-2.91
Au  0.2500  0.8328  0.1672  8 Au 2.83-2.91, 4 Ag 2.84-2.91
Au  0.7500  0.6656  0.8328  8 Au 2.83-2.91, 4 Ag 2.84-2.91
Au  0.2500  0.3344  0.1672  8 Au 2.83-2.91, 4 Ag 2.84-2.91
Ag  0.7500  0.6667  0.3333  12 Au 2.84-2.91
Ag  0.2500  0.3333  0.6667  12 Au 2.84-2.91



# 11
## Rb3TcW (GGA-PBEsol)

Data for a geometry-optimized Rb3TcW structure.

Values from the calculation:
formation energy = 13.2 eV per formula unit

Lattice parameters (Å, degrees): 6.2661 6.2661 6.2661 90.00 90.00 90.00
With the nearest neighbours (Å) after each atom.
Element x y z (fractional)
Rb  0.0000  0.5000  0.0000  2 Tc 3.13
Rb  0.0000  0.0000  0.5000  2 Tc 3.13
Rb  0.5000  0.0000  0.0000  2 Tc 3.13
Tc  0.0000  0.0000  0.0000  6 Rb 3.13
W  0.5000  0.5000  0.5000  12 Rb 4.43



# 12
## K2Ga2Pt (GGA-PBEsol)

Data for a geometry-optimized K2Ga2Pt structure.

Values from the calculation:
formation energy = 2.7 eV per formula unit

Lattice parameters (Å, degrees): 3.8714 3.8714 7.9249 104.14 104.14 90.00
With the nearest neighbours (Å) after each atom.
Element x y z (fractional)
K  0.2500  0.7500  0.5000  4 K 2.74
K  0.7500  0.2500  0.5000  4 K 2.74
Ga  0.4196  0.4196  0.8391  1 Ga 2.39
Ga  0.5804  0.5804  0.1609  1 Ga 2.39
Pt  0.0000  0.0000  0.0000  8 Ga 2.99



# 13
## Tc2RhBr (GGA-PBEsol)

Data for a geometry-optimized Tc2RhBr structure.

Values from the calculation:
uncorrected formation energy = 840 meV per atom
E above lowest polymorph = 0.451 eV per atom

Lattice parameters (Å, degrees): 4.0106 4.6224 4.0106 64.29 90.00 115.71
With the nearest neighbours (Å) after each atom.
Element x y z (fractional)
Rh  0.7500  0.5000  0.7500  8 Tc 2.71-2.84, 4 Br 2.71
Tc  0.0000  0.0000  0.0000  4 Tc 2.71, 4 Rh 2.71, 4 Br 2.84
Tc  0.2500  0.5000  0.2500  4 Br 2.71, 4 Tc 2.71, 4 Rh 2.84
Br  0.5000  0.0000  0.5000  8 Tc 2.71-2.84, 4 Rh 2.71



In order of appearance, volume = 12.6, 12.9, 16.9, 24.2, 20.0, 24.7, 28.5, 22.7, 7.7, 16.8, 49.2, 22.3, 14.7 Å³ per atom.
In order of appearance, spin magnetization = 3.8, 0.0, 0.0, 0.0, 0.0, 0.0, 0.0, 0.5, 0.0, 0.0, 8.1, 0.0, 0.0 μB per cell.